1.
# PuNpPa, optimized geometry, DFT PBE
data_PuNpPa
_chemical_formula_sum 'Pu4 Np4 Pa4'
_symmetry_space_group_name_H-M 'F -4 3 m'
_symmetry_Int_Tables_number 216
_symmetry_space_group_name_Hall 'F -4 2 3'
_cell_length_a 6.306
_cell_length_b 6.306
_cell_length_c 6.306
_cell_angle_alpha 90.00
_cell_angle_beta 90.00
_cell_angle_gamma 90.00
loop_
_atom_site_label
_atom_site_fract_x
_atom_site_fract_y
_atom_site_fract_z
Pu1 0.000 0.000 0.000
Np1 0.250 0.250 0.750
Pa1 0.250 0.250 0.250
# * formation energy: 39.91 kJ per mole of atoms
# * energy above the lowest structure with this stoichiometry: 0 meV per atom

---

2.
# NpPaRe, optimized geometry, DFT PBE
data_NpPaRe
_chemical_formula_sum 'Np4 Pa4 Re4'
_symmetry_space_group_name_H-M 'F -4 3 m'
_symmetry_Int_Tables_number 216
_symmetry_space_group_name_Hall 'F -4 2 3'
_cell_length_a 6.397
_cell_length_b 6.397
_cell_length_c 6.397
_cell_angle_alpha 90.00
_cell_angle_beta 90.00
_cell_angle_gamma 90.00
loop_
_atom_site_label
_atom_site_fract_x
_atom_site_fract_y
_atom_site_fract_z
Np1 0.000 0.000 0.000
Pa1 0.250 0.250 0.750
Re1 0.250 0.250 0.250
# * formation energy: 47.94 kJ per mole of atoms
# * energy above the lowest structure with this stoichiometry: 0 meV per atom

---

3.
# NpPaTa, optimized geometry, DFT PBE
data_NpPaTa
_chemical_formula_sum 'Np4 Pa4 Ta4'
_symmetry_space_group_name_H-M 'F -4 3 m'
_symmetry_Int_Tables_number 216
_symmetry_space_group_name_Hall 'F -4 2 3'
_cell_length_a 6.525
_cell_length_b 6.525
_cell_length_c 6.525
_cell_angle_alpha 90.00
_cell_angle_beta 90.00
_cell_angle_gamma 90.00
loop_
_atom_site_label
_atom_site_fract_x
_atom_site_fract_y
_atom_site_fract_z
Np1 0.000 0.000 0.000
Pa1 0.250 0.250 0.250
Ta1 0.000 0.000 0.500
# * formation energy: 94.23 kJ per mole of atoms

---

4.
# NpPaTl, optimized geometry, DFT PBE
data_NpPaTl
_chemical_formula_sum 'Np4 Pa4 Tl4'
_symmetry_space_group_name_H-M 'F -4 3 m'
_symmetry_Int_Tables_number 216
_symmetry_space_group_name_Hall 'F -4 2 3'
_cell_length_a 7.100
_cell_length_b 7.100
_cell_length_c 7.100
_cell_angle_alpha 90.00
_cell_angle_beta 90.00
_cell_angle_gamma 90.00
loop_
_atom_site_label
_atom_site_fract_x
_atom_site_fract_y
_atom_site_fract_z
Np1 0.000 0.000 0.000
Pa1 0.250 0.250 0.250
Tl1 0.000 0.000 0.500
# * energy above the lowest structure with this stoichiometry: 0 meV per atom